No. 1
Compound: TaTiRh
Source: Alexandria via LeMat-Bulk
Functional: PBE-GGA
Structure: relaxed

Lattice parameters (Å, degrees): 4.2981 4.2981 6.1480 90.00 90.00 90.00
Last column: nearest neighbours and their distance in Å.
Fractional positions:
Ta  0.2500  0.7500  0.0000  4 Rh 2.67
Ta  0.7500  0.2500  0.0000  4 Rh 2.67
Ti  0.2500  0.7500  0.5000  4 Rh 2.62
Ti  0.7500  0.2500  0.5000  4 Rh 2.62
Rh  0.2500  0.2500  0.2573  4 Ti 2.62, 4 Ta 2.67
Rh  0.7500  0.7500  0.7427  4 Ti 2.62, 4 Ta 2.67

- SG: No. 129
- Crystal system: tetragonal
- Energy: -9.064 eV per atom
- Formation energy: -0.031 eV per atom

=====

No. 2
Compound: Pa4CS3
Source: Alexandria via LeMat-Bulk
Functional: PBE-GGA
Structure: relaxed

Lattice parameters (Å, degrees): 5.4243 5.4243 5.4243 90.00 90.00 90.00
Last column: nearest neighbours and their distance in Å.
Fractional positions:
Pa  0.0000  0.0000  0.0000  6 S 2.71
Pa  0.0000  0.5000  0.5000  4 S 2.71, 2 C 2.71
Pa  0.5000  0.0000  0.5000  4 S 2.71, 2 C 2.71
Pa  0.5000  0.5000  0.0000  4 S 2.71, 2 C 2.71
C  0.5000  0.5000  0.5000  6 Pa 2.71
S  0.0000  0.0000  0.5000  6 Pa 2.71
S  0.0000  0.5000  0.0000  6 Pa 2.71
S  0.5000  0.0000  0.0000  6 Pa 2.71

- Raw formation energy: -1.231 eV/atom
- SG: No. 221
- Crystal system: cubic
- Energy: -8.680 eV per atom

=====

No. 3
Compound: Zn5AgRh4
Source: Alexandria via LeMat-Bulk
Functional: PBE-GGA
Structure: relaxed

Lattice parameters (Å, degrees): 3.0696 3.0696 15.1316 90.00 90.00 90.00
Last column: nearest neighbours and their distance in Å.
Fractional positions:
Zn  0.0000  0.0000  0.0000  8 Rh 2.63
Zn  0.0000  0.0000  0.1946  8 Rh 2.62-2.65, 1 Zn 2.89
Zn  0.0000  0.0000  0.3859  4 Rh 2.57, 4 Ag 2.77
Zn  0.0000  0.0000  0.6141  4 Rh 2.57, 4 Ag 2.77
Zn  0.0000  0.0000  0.8054  8 Rh 2.62-2.65, 1 Zn 2.89
Ag  0.5000  0.5000  0.5000  8 Zn 2.77, 4 Ag 3.07, 2 Rh 3.10
Rh  0.5000  0.5000  0.0980  8 Zn 2.62-2.63
Rh  0.5000  0.5000  0.2949  8 Zn 2.57-2.65
Rh  0.5000  0.5000  0.7051  8 Zn 2.57-2.65
Rh  0.5000  0.5000  0.9020  8 Zn 2.62-2.63

- SG: No. 123
- Crystal system: tetragonal
- Energy: -4.199 eV per atom
- Formation energy: -0.336 eV per atom

=====

No. 4
Compound: Tb2CePm5Nd
Source: Alexandria via LeMat-Bulk
Functional: PBE-GGA
Structure: relaxed

Lattice parameters (Å, degrees): 8.1723 8.1723 9.2335 90.00 90.00 90.00
Last column: nearest neighbours and their distance in Å.
Fractional positions:
Tb  0.1291  0.3709  0.0000  1 Tb 2.99, 4 Pm 3.19-3.21
Tb  0.3709  0.8709  0.0000  1 Tb 2.99, 4 Pm 3.19-3.21
Tb  0.6291  0.1291  0.0000  1 Tb 2.99, 4 Pm 3.19-3.21
Tb  0.8709  0.6291  0.0000  1 Tb 2.99, 4 Pm 3.19-3.21
Ce  0.0000  0.5000  0.5000  4 Pm 3.12
Ce  0.5000  0.0000  0.5000  4 Pm 3.12
Pm  0.0000  0.0000  0.0000  4 Tb 3.21
Pm  0.1960  0.6960  0.2677  1 Ce 3.12, 1 Tb 3.19
Pm  0.1960  0.6960  0.7323  1 Ce 3.12, 1 Tb 3.19
Pm  0.3040  0.1960  0.2677  1 Ce 3.12, 1 Tb 3.19
Pm  0.3040  0.1960  0.7323  1 Ce 3.12, 1 Tb 3.19
Pm  0.5000  0.5000  0.0000  4 Tb 3.21
Pm  0.6960  0.8040  0.2677  1 Ce 3.12, 1 Tb 3.19
Pm  0.6960  0.8040  0.7323  1 Ce 3.12, 1 Tb 3.19
Pm  0.8040  0.3040  0.2677  1 Ce 3.12, 1 Tb 3.19
Pm  0.8040  0.3040  0.7323  1 Ce 3.12, 1 Tb 3.19
Nd  0.0000  0.0000  0.5000  8 Pm 3.65, 4 Ce 4.09
Nd  0.5000  0.5000  0.5000  8 Pm 3.65, 4 Ce 4.09

- SG: No. 127
- Crystal system: tetragonal
- Energy: -4.571 eV per atom
- Formation energy: 0.286 eV per atom

=====

No. 5
Compound: KLaS2Cl
Source: Alexandria via LeMat-Bulk
Functional: PBE-GGA
Structure: relaxed

Lattice parameters (Å, degrees): 5.2986 5.2986 5.1530 90.00 90.00 90.00
Last column: nearest neighbours and their distance in Å.
Fractional positions:
K  0.0000  0.0000  0.0000  2 Cl 2.58, 4 S 2.65
La  0.5000  0.5000  0.5000  8 S 3.70, 4 Cl 3.75
S  0.0000  0.5000  0.0000  2 K 2.65
S  0.5000  0.0000  0.0000  2 K 2.65
Cl  0.0000  0.0000  0.5000  2 K 2.58

- Raw formation energy: -0.562 eV/atom
- SG: No. 123
- Crystal system: tetragonal
- Energy: -3.788 eV per atom

=====

No. 6
Compound: RbNbIN2
Source: Alexandria via LeMat-Bulk
Functional: PBE-GGA
Structure: relaxed

Lattice parameters (Å, degrees): 4.3930 4.3930 6.0080 90.00 90.00 90.00
Last column: nearest neighbours and their distance in Å.
Fractional positions:
Rb  0.0000  0.0000  0.0000  4 N 2.20
Nb  0.5000  0.5000  0.5000  4 I 3.11
I  0.0000  0.0000  0.5000  2 Rb 3.00, 4 Nb 3.11
N  0.0000  0.5000  0.0000  2 Rb 2.20
N  0.5000  0.0000  0.0000  2 Rb 2.20

- Raw formation energy: 2.836 eV/atom
- SG: No. 123
- Crystal system: tetragonal
- Energy: -3.012 eV per atom